No. 1
! MgRh2, single point on PBEsol structure, DFT meta-GGA SCAN; values from VASP
! **Calculated formation energy**: -0.3073 eV per atom
! **Density of states at the Fermi level**: 5.72 states/eV per cell
! **E**: -24.480 eV per atom
&SYSTEM
  ibrav = 0, nat = 6, ntyp = 2
/
ATOMIC_SPECIES
Mg 24.30 Mg.upf
Rh 102.91 Rh.upf
ATOMIC_POSITIONS crystal
Mg 0.025 0.025 0.297
Mg 0.975 0.975 0.703
Rh 0.296 0.296 0.358
Rh 0.356 0.356 0.981
Rh 0.644 0.644 0.019
Rh 0.704 0.704 0.642
CELL_PARAMETERS angstrom
4.970 -1.378 0.000
4.970 1.378 0.000
-1.630 0.000 6.319

No. 2
! HfMnCl3, single point on PBEsol structure, DFT meta-GGA SCAN; values from VASP
! **E_form (uncorrected)**: -1.21 eV/f.u.
! **Density of states at the Fermi level**: 6.06 states/eV per cell
! **E**: -21.215 eV per atom
&SYSTEM
  ibrav = 0, nat = 5, ntyp = 3
/
ATOMIC_SPECIES
Hf 178.49 Hf.upf
Mn 54.94 Mn.upf
Cl 35.45 Cl.upf
ATOMIC_POSITIONS crystal
Hf 0.000 0.000 0.000
Mn 0.500 0.500 0.500
Cl 0.000 0.500 0.500
Cl 0.500 0.000 0.500
Cl 0.500 0.500 0.000
CELL_PARAMETERS angstrom
4.787 0.000 0.000
0.000 4.787 0.000
0.000 0.000 4.787

No. 3
! Y2MnCrPt, single point on PBEsol structure, DFT meta-GGA SCAN; values from VASP
! **Calculated formation energy**: -0.0542 eV per atom
! **Density of states at the Fermi level**: 4.30 states/eV per cell
! **E**: -32.558 eV per atom
&SYSTEM
  ibrav = 0, nat = 5, ntyp = 4
/
ATOMIC_SPECIES
Y 88.91 Y.upf
Mn 54.94 Mn.upf
Cr 52.00 Cr.upf
Pt 195.08 Pt.upf
ATOMIC_POSITIONS crystal
Y 0.000 0.500 0.000
Y 0.500 0.000 0.000
Mn 0.000 0.000 0.500
Cr 0.500 0.500 0.500
Pt 0.500 0.500 0.000
CELL_PARAMETERS angstrom
5.251 0.000 0.000
0.000 5.251 0.000
0.000 0.000 4.921

No. 4
! BWN3, single point on PBEsol structure, DFT meta-GGA SCAN; values from VASP
! **E_form (uncorrected)**: 7.28 eV/f.u.
! **Density of states at the Fermi level**: 1.32 states/eV per cell
! **E**: -19.543 eV per atom
&SYSTEM
  ibrav = 0, nat = 5, ntyp = 3
/
ATOMIC_SPECIES
B 10.81 B.upf
W 183.84 W.upf
N 14.01 N.upf
ATOMIC_POSITIONS crystal
B 0.000 0.000 0.000
W 0.500 0.500 0.500
N 0.000 0.500 0.500
N 0.500 0.000 0.500
N 0.500 0.500 0.000
CELL_PARAMETERS angstrom
3.932 0.000 0.000
0.000 3.932 0.000
0.000 0.000 3.932

No. 5
! ZnFe4CoO8, single point on PBEsol structure, DFT meta-GGA SCAN; values from VASP
! **Offset from the most stable computed form**: 0.000 eV per atom
! **E_form (uncorrected)**: -21.36 eV/f.u.
! **Density of states at the Fermi level**: 0.00 states/eV per cell
! **E**: -12.468 eV per atom
&SYSTEM
  ibrav = 0, nat = 14, ntyp = 4
/
ATOMIC_SPECIES
Zn 65.41 Zn.upf
Fe 55.84 Fe.upf
Co 58.93 Co.upf
O 16.00 O.upf
ATOMIC_POSITIONS crystal
Zn 0.000 0.000 0.000
Fe 0.499 0.998 0.998
Fe 0.623 0.623 0.623
Fe 0.998 0.499 0.998
Fe 0.998 0.998 0.499
Co 0.373 0.373 0.373
O 0.220 0.749 0.749
O 0.238 0.238 0.238
O 0.252 0.252 0.777
O 0.252 0.777 0.252
O 0.749 0.220 0.749
O 0.749 0.749 0.220
O 0.759 0.759 0.759
O 0.777 0.252 0.252
CELL_PARAMETERS angstrom
2.824 1.630 4.829
-2.824 1.630 4.829
0.000 -3.260 4.829

No. 6
! YZnAs2Se, single point on PBEsol structure, DFT meta-GGA SCAN; values from VASP
! **E_form (uncorrected)**: -0.86 eV/f.u.
! **Density of states at the Fermi level**: 3.17 states/eV per cell
! **E**: -20.535 eV per atom
&SYSTEM
  ibrav = 0, nat = 5, ntyp = 4
/
ATOMIC_SPECIES
Y 88.91 Y.upf
Zn 65.41 Zn.upf
As 74.92 As.upf
Se 78.96 Se.upf
ATOMIC_POSITIONS crystal
Y 0.000 0.000 0.000
Zn 0.500 0.500 0.500
As 0.000 0.500 0.500
As 0.500 0.000 0.500
Se 0.500 0.500 0.000
CELL_PARAMETERS angstrom
4.725 0.000 0.000
0.000 4.725 0.000
0.000 0.000 4.944

Q: The highest E belongs to which entry?
A: ZnFe4CoO8

Q: Number 6 is which compound?
A: YZnAs2Se

Q: What is the E in the fourth record?
A: -19.543 eV per atom